Record 1
A relaxed Zr3W4 crystal, computed with PBE-GGA.

Output
Energy above the lowest structure with this stoichiometry   0.000 eV/atom
Electronic total energy   -11.000 eV/atom
Spin magnetization   0.0 Bohr magnetons per cell
Space-group type   I4/mmm

Cell lengths 12.6582, 12.6582, 12.6582 Å; angles 165.27, 165.27, 20.89 degrees
Element x y z (fractional)
Zr (0.0000, 0.0000, 0.0000)
Zr (0.7062, 0.7062, 0.0000)
Zr (0.2938, 0.2938, 0.0000)
W (0.8680, 0.8680, 0.0000)
W (0.5744, 0.5744, 0.0000)
W (0.4256, 0.4256, 0.0000)
W (0.1320, 0.1320, 0.0000)

---

Record 2
A relaxed ZrW2 crystal, computed with PBE-GGA.

Output
Electronic total energy   -9.494 eV/atom
Spin magnetization   0.0 Bohr magnetons per cell
Space-group type   Pa-3

Cell lengths 6.3700, 6.3700, 6.3700 Å; angles 90.00, 90.00, 90.00 degrees
Element x y z (fractional)
Zr (0.0000, 0.0000, 0.0000)
Zr (0.0000, 0.5000, 0.5000)
Zr (0.5000, 0.0000, 0.5000)
Zr (0.5000, 0.5000, 0.0000)
W (0.1144, 0.6144, 0.8856)
W (0.1144, 0.8856, 0.3856)
W (0.3856, 0.1144, 0.8856)
W (0.3856, 0.3856, 0.3856)
W (0.6144, 0.6144, 0.6144)
W (0.6144, 0.8856, 0.1144)
W (0.8856, 0.1144, 0.6144)
W (0.8856, 0.3856, 0.1144)

---

Record 3
A relaxed ZrW7 crystal, computed with PBE-GGA.

Output
Electronic total energy   -11.854 eV/atom
Spin magnetization   0.0 Bohr magnetons per cell
Space-group type   Fm-3m

Cell lengths 5.7840, 5.7840, 5.7840 Å; angles 60.00, 60.00, 60.00 degrees
Element x y z (fractional)
Zr (0.0000, 0.0000, 0.0000)
W (0.0000, 0.5000, 0.5000)
W (0.5000, 0.0000, 0.5000)
W (0.5000, 0.5000, 0.0000)
W (0.0000, 0.0000, 0.5000)
W (0.0000, 0.5000, 0.0000)
W (0.5000, 0.0000, 0.0000)
W (0.5000, 0.5000, 0.5000)

---

Record 4
A relaxed Zr5W4 crystal, computed with PBE-GGA.

Output
Energy above the lowest structure with this stoichiometry   0.000 eV/atom
Electronic total energy   -10.340 eV/atom
Spin magnetization   0.0 Bohr magnetons per cell
Space-group type   I4/mmm

Cell lengths 7.4332, 7.4332, 7.4332 Å; angles 92.83, 92.83, 154.33 degrees
Element x y z (fractional)
Zr (0.0000, 0.0000, 0.0000)
Zr (0.3314, 0.6686, 0.0000)
Zr (0.6686, 0.6686, 0.3372)
Zr (0.3314, 0.3314, 0.6628)
Zr (0.6686, 0.3314, 0.0000)
W (0.3494, 0.0000, 0.3494)
W (0.6506, 0.0000, 0.6506)
W (0.0000, 0.6506, 0.6506)
W (0.0000, 0.3494, 0.3494)

---

Record 5
A relaxed ZrW2 crystal, computed with PBE-GGA.

Output
Electronic total energy   -11.392 eV/atom
Spin magnetization   0.0 Bohr magnetons per cell
Space-group type   Cmcm

Cell lengths 7.2029, 7.2029, 4.7344 Å; angles 90.00, 90.00, 153.98 degrees
Element x y z (fractional)
Zr (0.4174, 0.5826, 0.7500)
Zr (0.5826, 0.4174, 0.2500)
W (0.7444, 0.2556, 0.7500)
W (0.9053, 0.0947, 0.2500)
W (0.0947, 0.9053, 0.7500)
W (0.2556, 0.7444, 0.2500)

---

Record 6
A relaxed ZrW2 crystal, computed with PBE-GGA.

Output
Electronic total energy   -11.258 eV/atom
Spin magnetization   0.0 Bohr magnetons per cell
Space-group type   Pnma

Cell lengths 5.6429, 4.7097, 8.2084 Å; angles 90.00, 90.00, 90.00 degrees
Element x y z (fractional)
Zr (0.1689, 0.2500, 0.9170)
Zr (0.3311, 0.7500, 0.4170)
Zr (0.6689, 0.2500, 0.5830)
Zr (0.8311, 0.7500, 0.0830)
W (0.0196, 0.2500, 0.2713)
W (0.1599, 0.2500, 0.5768)
W (0.3401, 0.7500, 0.0768)
W (0.4804, 0.7500, 0.7713)
W (0.5196, 0.2500, 0.2287)
W (0.6599, 0.2500, 0.9232)
W (0.8401, 0.7500, 0.4232)
W (0.9804, 0.7500, 0.7287)